[1]
! Cs2MnPbI6, relaxed, DFT PBE-GGA; values from VASP
&SYSTEM
  ibrav = 0, nat = 10, ntyp = 4
/
ATOMIC_SPECIES
I 126.90 I.upf
Pb 207.20 Pb.upf
Mn 54.94 Mn.upf
Cs 132.91 Cs.upf
ATOMIC_POSITIONS crystal
I 0.2217 0.3287 0.1643
I 0.2217 0.8357 0.1643
I 0.7783 0.6713 0.8357
I 0.7783 0.1643 0.3287
I 0.2217 0.8357 0.6713
I 0.7783 0.1643 0.8357
Pb 0.5000 0.0000 0.0000
Mn 0.0000 0.0000 0.0000
Cs 0.7886 0.6667 0.3333
Cs 0.2114 0.3333 0.6667
CELL_PARAMETERS angstrom
-4.0997 -4.5080 4.6243
-4.0629 -3.1978 -6.7193
7.1350 -3.6469 2.7703
! **Total magnetization**: 5.0 μB/f.u.
! **Distance to the lowest polymorph of the same formula**: 0 meV per atom
! **E_tot**: -3.338 eV per atom
! **N(E_F)**: 0.00 states/eV per cell



[2]
! Cs2MnPbI6, relaxed, DFT PBE-GGA; values from VASP
&SYSTEM
  ibrav = 0, nat = 10, ntyp = 4
/
ATOMIC_SPECIES
I 126.90 I.upf
Pb 207.20 Pb.upf
Mn 54.94 Mn.upf
Cs 132.91 Cs.upf
ATOMIC_POSITIONS crystal
I 0.7371 0.2629 0.0000
I 0.7371 0.7371 0.0000
I 0.2629 0.7371 0.0000
I 0.2629 0.2629 0.4743
I 0.2629 0.2629 0.0000
I 0.7371 0.7371 0.5257
Pb 0.0000 0.0000 0.0000
Mn 0.5000 0.5000 0.0000
Cs 0.7500 0.2500 0.5000
Cs 0.2500 0.7500 0.5000
CELL_PARAMETERS angstrom
-3.6223 7.8180 0.5592
-7.8235 -3.6438 0.2654
-5.3860 1.8075 6.5043
! **Total magnetization**: 5.0 μB/f.u.
! **Distance to the lowest polymorph of the same formula**: 18 meV per atom
! **E_tot**: -3.320 eV per atom
! **N(E_F)**: 0.00 states/eV per cell



[3]
! Cs3Mn2PbI9, relaxed, DFT PBE-GGA; values from VASP
&SYSTEM
  ibrav = 0, nat = 15, ntyp = 4
/
ATOMIC_SPECIES
I 126.90 I.upf
Cs 132.91 Cs.upf
Mn 54.94 Mn.upf
Pb 207.20 Pb.upf
ATOMIC_POSITIONS crystal
I 0.6503 0.8251 0.3190
I 0.0000 0.5000 0.0000
I 0.8251 0.6503 0.6810
I 0.8251 0.1749 0.6810
I 0.1749 0.8251 0.3190
I 0.1749 0.3497 0.3190
I 0.5000 0.5000 0.0000
I 0.3497 0.1749 0.6810
I 0.5000 0.0000 0.0000
Cs 0.3333 0.6667 0.6715
Cs 0.0000 0.0000 0.0000
Cs 0.6667 0.3333 0.3285
Mn 0.3333 0.6667 0.1556
Mn 0.6667 0.3333 0.8444
Pb 0.0000 0.0000 0.5000
CELL_PARAMETERS angstrom
8.5011 0.0000 0.0000
-4.2506 7.3622 0.0000
0.0000 0.0000 10.4704
! **Total magnetization**: 10.0 μB/f.u.
! **E_tot**: -3.472 eV per atom



[4]
! CsMn2PdI8, relaxed, DFT PBE-GGA; values from VASP
&SYSTEM
  ibrav = 0, nat = 12, ntyp = 4
/
ATOMIC_SPECIES
I 126.90 I.upf
Mn 54.94 Mn.upf
Cs 132.91 Cs.upf
Pd 106.42 Pd.upf
ATOMIC_POSITIONS crystal
I 0.7297 0.0654 0.8504
I 0.3545 0.7297 0.8504
I 0.2703 0.9346 0.1496
I 0.9346 0.6455 0.1496
I 0.6455 0.2703 0.1496
I 0.8171 0.8171 0.5488
I 0.1829 0.1829 0.4512
I 0.0654 0.3545 0.8504
Mn 0.7384 0.7384 0.7848
Mn 0.2616 0.2616 0.2152
Cs 0.5000 0.5000 0.5000
Pd 0.0000 0.0000 0.0000
CELL_PARAMETERS angstrom
7.2256 0.0000 0.0000
3.6128 6.2575 0.0000
3.6128 2.0858 11.1186
! **Total magnetization**: 8.9 μB/f.u.
! **E_tot**: -3.549 eV per atom
! **N(E_F)**: 10.32 states/eV per cell



[5]
! CsPm2MnI8, relaxed, DFT PBE-GGA; values from VASP
&SYSTEM
  ibrav = 0, nat = 12, ntyp = 4
/
ATOMIC_SPECIES
Mn 54.94 Mn.upf
I 126.90 I.upf
Pm 145.00 Pm.upf
Cs 132.91 Cs.upf
ATOMIC_POSITIONS crystal
Mn 0.0000 0.0000 0.0000
I 0.1626 0.7538 0.8000
I 0.8374 0.2462 0.2000
I 0.3785 0.2871 0.5009
I 0.8395 0.2483 0.7996
I 0.6632 0.7462 0.9996
I 0.3368 0.2538 0.0004
I 0.6215 0.7129 0.4991
I 0.1605 0.7517 0.2004
Pm 0.5004 0.5000 0.7725
Pm 0.4996 0.5000 0.2275
Cs 0.0000 0.0000 0.5000
CELL_PARAMETERS angstrom
7.7604 0.2623 0.0035
0.3653 7.4063 0.0006
0.0196 0.0236 9.6016
! **Total magnetization**: 5.3 μB/f.u.
! **E_tot**: -3.726 eV per atom
! **N(E_F)**: 7.12 states/eV per cell



[6]
! CsPmMn2I8, relaxed, DFT PBE-GGA; values from VASP
&SYSTEM
  ibrav = 0, nat = 12, ntyp = 4
/
ATOMIC_SPECIES
I 126.90 I.upf
Cs 132.91 Cs.upf
Mn 54.94 Mn.upf
Pm 145.00 Pm.upf
ATOMIC_POSITIONS crystal
I 0.2831 0.9364 0.1633
I 0.8250 0.8250 0.5250
I 0.1750 0.1750 0.4750
I 0.9364 0.6172 0.1633
I 0.3828 0.7169 0.8367
I 0.0636 0.3828 0.8367
I 0.6172 0.2831 0.1633
I 0.7169 0.0636 0.8367
Cs 0.5000 0.5000 0.5000
Mn 0.7472 0.7472 0.7584
Mn 0.2528 0.2528 0.2416
Pm 0.0000 0.0000 0.0000
CELL_PARAMETERS angstrom
7.5956 0.0001 0.0000
3.7977 6.5780 0.0000
3.7978 2.1927 11.2033
! **Total magnetization**: 10.0 μB/f.u.
! **E_tot**: -3.954 eV per atom
! **N(E_F)**: 0.00 states/eV per cell



[7]
! CsPmMnI6, relaxed, DFT PBE-GGA; values from VASP
&SYSTEM
  ibrav = 0, nat = 9, ntyp = 4
/
ATOMIC_SPECIES
I 126.90 I.upf
Pm 145.00 Pm.upf
Cs 132.91 Cs.upf
Mn 54.94 Mn.upf
ATOMIC_POSITIONS crystal
I 0.0177 0.3645 0.2998
I 0.3645 0.6178 0.2999
I 0.3645 0.0177 0.7001
I 0.0177 0.6178 0.7001
I 0.6178 0.0177 0.2999
I 0.6178 0.3645 0.7001
Pm 0.6666 0.6667 0.5000
Cs 0.0000 0.0000 0.0000
Mn 0.3333 0.3333 0.5000
CELL_PARAMETERS angstrom
-7.2271 0.0994 -3.0609
-3.0043 -6.5153 -3.1835
-3.2960 -2.2461 7.7085
! **Total magnetization**: 5.0 μB/f.u.
! **E_tot**: -3.792 eV per atom
! **N(E_F)**: 0.00 states/eV per cell



[8]
! CsPuMnI6, relaxed, DFT PBE-GGA; values from VASP
&SYSTEM
  ibrav = 0, nat = 9, ntyp = 4
/
ATOMIC_SPECIES
Mn 54.94 Mn.upf
I 126.90 I.upf
Pu 244.00 Pu.upf
Cs 132.91 Cs.upf
ATOMIC_POSITIONS crystal
Mn 0.3333 0.3333 0.5000
I 0.6231 0.0180 0.3035
I 0.0180 0.6231 0.6965
I 0.3589 0.0180 0.6965
I 0.6231 0.3589 0.6965
I 0.3588 0.6232 0.3035
I 0.0179 0.3589 0.3035
Pu 0.6666 0.6667 0.5000
Cs 0.0000 0.0000 0.0000
CELL_PARAMETERS angstrom
-3.7889 -5.2744 4.3588
-0.7515 -7.3587 -2.5409
7.4741 -2.1209 3.9300
! **Total magnetization**: 0.0 μB/f.u.
! **E_tot**: -4.699 eV per atom
! **N(E_F)**: 12.83 states/eV per cell



[9]
! CsPu2MnI8, relaxed, DFT PBE-GGA; values from VASP
&SYSTEM
  ibrav = 0, nat = 12, ntyp = 4
/
ATOMIC_SPECIES
Pu 244.00 Pu.upf
I 126.90 I.upf
Mn 54.94 Mn.upf
Cs 132.91 Cs.upf
ATOMIC_POSITIONS crystal
Pu 0.5002 0.5001 0.7628
Pu 0.4998 0.4999 0.2372
I 0.1585 0.7633 0.8025
I 0.8428 0.2380 0.8021
I 0.6129 0.7245 0.4994
I 0.3871 0.2755 0.5006
I 0.8415 0.2367 0.1975
I 0.6621 0.7406 0.9997
I 0.3379 0.2594 0.0003
I 0.1572 0.7620 0.1979
Mn 0.0000 0.0000 0.0000
Cs 0.0000 0.0000 0.5000
CELL_PARAMETERS angstrom
7.7005 0.1576 -0.0011
0.3594 7.3368 -0.0014
0.0144 0.0198 9.8740
! **Total magnetization**: 16.2 μB/f.u.
! **E_tot**: -5.191 eV per atom
! **N(E_F)**: 32.06 states/eV per cell



[10]
! Cs3RbMn2I9, relaxed, DFT PBE-GGA; values from VASP
&SYSTEM
  ibrav = 0, nat = 15, ntyp = 4
/
ATOMIC_SPECIES
I 126.90 I.upf
Rb 85.47 Rb.upf
Cs 132.91 Cs.upf
Mn 54.94 Mn.upf
ATOMIC_POSITIONS crystal
I 0.0000 0.5000 0.0000
I 0.5000 0.5000 0.0000
I 0.8284 0.6568 0.7232
I 0.1716 0.3432 0.2768
I 0.6568 0.8284 0.2768
I 0.8284 0.1716 0.7232
I 0.5000 0.0000 0.0000
I 0.3432 0.1716 0.7232
I 0.1716 0.8284 0.2768
Rb 0.0000 0.0000 0.5000
Cs 0.0000 0.0000 0.0000
Cs 0.3333 0.6667 0.7376
Cs 0.6667 0.3333 0.2624
Mn 0.3333 0.6667 0.1541
Mn 0.6667 0.3333 0.8459
CELL_PARAMETERS angstrom
-5.8850 -2.9717 -5.0566
-0.0846 -1.9568 8.0745
-6.7642 9.5696 2.2483
! **Total magnetization**: 9.0 μB/f.u.
! **E_tot**: -3.360 eV per atom
! **N(E_F)**: 2.37 states/eV per cell



[11]
! CsRbMn2I8, relaxed, DFT PBE-GGA; values from VASP
&SYSTEM
  ibrav = 0, nat = 12, ntyp = 4
/
ATOMIC_SPECIES
Mn 54.94 Mn.upf
I 126.90 I.upf
Cs 132.91 Cs.upf
Rb 85.47 Rb.upf
ATOMIC_POSITIONS crystal
Mn 0.3333 0.6667 0.7819
Mn 0.6667 0.3333 0.2181
I 0.6529 0.6493 0.7197
I 0.3333 0.6667 0.9957
I 0.6667 0.3333 0.0043
I 0.9964 0.3471 0.7197
I 0.6493 0.9964 0.2803
I 0.3471 0.3507 0.2803
I 0.0036 0.6529 0.2803
I 0.3507 0.0036 0.7197
Cs 0.0000 0.0000 0.0000
Rb 0.0000 0.0000 0.5000
CELL_PARAMETERS angstrom
-4.1041 5.8831 2.3914
-2.8494 -6.9945 0.3632
4.6176 -1.3031 11.1307
! **Total magnetization**: 8.0 μB/f.u.
! **E_tot**: -3.409 eV per atom
! **N(E_F)**: 11.51 states/eV per cell



[12]
! CsRbMnI6, relaxed, DFT PBE-GGA; values from VASP
&SYSTEM
  ibrav = 0, nat = 9, ntyp = 4
/
ATOMIC_SPECIES
Mn 54.94 Mn.upf
Cs 132.91 Cs.upf
I 126.90 I.upf
Rb 85.47 Rb.upf
ATOMIC_POSITIONS crystal
Mn 0.3333 0.3334 0.5000
Cs 0.0000 0.0000 0.0000
I 0.0798 0.3356 0.2886
I 0.3356 0.0799 0.7113
I 0.5849 0.0793 0.2890
I 0.0793 0.5850 0.7110
I 0.3359 0.5844 0.2886
I 0.5844 0.3359 0.7114
Rb 0.6665 0.6665 0.5000
CELL_PARAMETERS angstrom
8.7102 0.0032 0.0007
4.3579 7.5419 -0.0006
0.0008 -0.0016 7.4984
! **Total magnetization**: 3.0 μB/f.u.
! **E_tot**: -3.005 eV per atom